Below is crystalline Ca2PmSn9 at its relaxed geometry, with properties calculated at the GGA-PBE level.

Output
- Calculated density: 6.6 Mg/m³
- Space group: No. 123
- Raw total energy: -0.1528 hartree per atom
- V: 27.0 Å³ per atom

Geometry as POSCAR:
```
Ca2PmSn9
1.0
4.758 0.000 0.000
0.000 4.758 0.000
0.000 0.000 14.289
Ca Pm Sn
2 1 9
Cartesian
0.000 0.000 4.750
0.000 0.000 9.539
0.000 0.000 0.000
2.379 2.379 0.000
2.379 2.379 4.776
2.379 2.379 9.513
2.379 0.000 2.399
2.379 0.000 7.144
2.379 0.000 11.890
0.000 2.379 2.399
0.000 2.379 7.144
0.000 2.379 11.890
```